Record 1
The following is a DFT calculation (meta-GGA SCAN) of SbMoPt2 at its PBEsol-relaxed geometry.

```
4
Lattice="2.932 0.000 0.000 0.000 3.743 0.000 0.000 0.000 6.064" Properties=species:S:1:pos:R:3 pbc="T T T"
Mo 1.466 1.871 4.729
Pt 0.000 0.000 6.002
Pt 1.466 1.871 1.434
Sb 0.000 0.000 2.995
```

## Properties
The calculation puts the total energy at -212.42 eV/cell. The calculation puts the uncorrected formation energy at 0.028 eV per atom. As for the density of states at the Fermi level: 2.43 states/eV/f.u. As for the space-group type: No. 25.

Record 2
The following is a DFT calculation (meta-GGA SCAN) of TaBr at its PBEsol-relaxed geometry.

```
4
Lattice="-1.033 1.204 -2.613 -1.945 -2.337 -0.308 -6.062 4.460 4.451" Properties=species:S:1:pos:R:3 pbc="T T T"
Br -4.649 3.642 1.728
Br -2.902 0.251 1.263
Ta -1.254 1.144 -0.765
Ta -6.298 2.749 3.755
```

## Properties
The calculation puts the total energy at -172.28 eV/cell. The calculation puts the uncorrected formation energy at -0.048 eV per atom. As for the density of states at the Fermi level: 0.74 states/eV/f.u. As for the space-group type: No. 129.

Record 3
The following is a DFT calculation (meta-GGA SCAN) of LiGaCoAs2 at its PBEsol-relaxed geometry.

```
5
Lattice="-2.594 3.385 -1.034 -1.477 -2.325 -3.908 -3.562 -1.962 2.513" Properties=species:S:1:pos:R:3 pbc="T T T"
As -1.781 -0.981 1.257
As -0.738 -1.162 -1.954
Co -3.816 -0.451 -1.214
Ga 0.000 0.000 0.000
Li -1.297 1.693 -0.517
```

## Properties
The calculation puts the total energy at -72.26 eV/cell. For the formation energy, the calculation gives 0.832 eV per atom. As for the density of states at the Fermi level: 3.31 states/eV/f.u. As for the space-group type: No. 123.